## w
The following is a PBE-GGA calculation of a geometry-optimized AlRhSe structure, from Alexandria via LeMat-Bulk.

abc: 3.029 3.029 10.598
angles: 90.00 90.00 90.00
Space group I4mm (No. 107)
One atom of each set of equivalent atoms:
Al 0.000 0.000 0.000 [2 per cell]
Rh 0.000 0.000 0.633 [2 per cell]
Se 0.000 0.000 0.308 [2 per cell]

***

## x
The following is a PBE-GGA calculation of a geometry-optimized AlRhSe structure, from Alexandria via LeMat-Bulk.

abc: 3.378 3.378 8.419
angles: 90.00 90.00 90.00
Space group I4mm (No. 107)
One atom of each set of equivalent atoms:
Al 0.000 0.000 0.000 [2 per cell]
Rh 0.000 0.000 0.639 [2 per cell]
Se 0.000 0.000 0.332 [2 per cell]

***

## y
The following is a PBE-GGA calculation of a geometry-optimized AlRhSe structure, from Alexandria via LeMat-Bulk.

abc: 3.2138 3.2138 5.5428
angles: 90.00 90.00 120.00
Space group P3m1 (No. 156)
One atom of each set of equivalent atoms:
Al 0.0000 0.0000 0.0000 [1 per cell]
Rh 0.3333 0.6667 0.3098 [1 per cell]
Se 0.6667 0.3333 0.6482 [1 per cell]

***

## z
The following is a PBE-GGA calculation of a geometry-optimized AlRhSe structure, from Alexandria via LeMat-Bulk.

abc: 4.3644 4.3644 2.9238
angles: 90.00 90.00 120.00
Space group P-6m2 (No. 187)
One atom of each set of equivalent atoms:
Al 0.0000 0.0000 0.0000 [1 per cell]
Rh 0.6667 0.3333 0.5000 [1 per cell]
Se 0.3333 0.6667 0.5000 [1 per cell]

***

y takes first place; second place is 2.7 kJ/mol of atoms up.

***

## w
The following is a PBE-GGA calculation of a geometry-optimized AlRh3Se structure, from Alexandria via LeMat-Bulk.

abc: 4.535 4.535 4.535
angles: 90.00 90.00 90.00
Space group Pm-3m (No. 221)
One atom of each set of equivalent atoms:
Al 0.000 0.000 0.000 [1 per cell]
Rh 0.000 0.500 0.500 [3 per cell]
Se 0.500 0.500 0.500 [1 per cell]

***

## x
The following is a PBE-GGA calculation of a geometry-optimized AlRh3Se structure, from Alexandria via LeMat-Bulk.

abc: 4.499 4.499 4.499
angles: 90.00 90.00 90.00
Space group Pm-3m (No. 221)
One atom of each set of equivalent atoms:
Al 0.000 0.000 0.000 [1 per cell]
Rh 0.000 0.000 0.500 [3 per cell]
Se 0.500 0.500 0.500 [1 per cell]

***

w takes first place; second place is 24.9 kJ/mol of atoms up.

***

## w
The following is a PBE-GGA calculation of a geometry-optimized Al3RhSe structure, from Alexandria via LeMat-Bulk.

abc: 4.730 4.730 4.730
angles: 90.00 90.00 90.00
Space group Pm-3m (No. 221)
One atom of each set of equivalent atoms:
Al 0.000 0.000 0.500 [3 per cell]
Rh 0.000 0.000 0.000 [1 per cell]
Se 0.500 0.500 0.500 [1 per cell]

***

## x
The following is a PBE-GGA calculation of a geometry-optimized Al3RhSe structure, from Alexandria via LeMat-Bulk.

abc: 4.762 4.762 4.762
angles: 90.00 90.00 90.00
Space group Pm-3m (No. 221)
One atom of each set of equivalent atoms:
Al 0.000 0.000 0.500 [3 per cell]
Rh 0.500 0.500 0.500 [1 per cell]
Se 0.000 0.000 0.000 [1 per cell]

***

w takes first place; second place is 102.7 kJ/mol of atoms up.

***

## w
The following is a PBE-GGA calculation of a geometry-optimized AlSiRh3 structure, from Alexandria via LeMat-Bulk.

abc: 4.399 4.399 4.399
angles: 90.00 90.00 90.00
Space group Pm-3m (No. 221)
One atom of each set of equivalent atoms:
Al 0.000 0.000 0.000 [1 per cell]
Si 0.500 0.500 0.500 [1 per cell]
Rh 0.000 0.000 0.500 [3 per cell]

***

## x
The following is a PBE-GGA calculation of a geometry-optimized AlSiRh3 structure, from Alexandria via LeMat-Bulk.

abc: 4.361 4.361 4.361
angles: 90.00 90.00 90.00
Space group Pm-3m (No. 221)
One atom of each set of equivalent atoms:
Al 0.000 0.000 0.000 [1 per cell]
Si 0.500 0.500 0.500 [1 per cell]
Rh 0.000 0.500 0.500 [3 per cell]

***

x takes first place; second place is 63.1 kJ/mol of atoms up.

***

## w
The following is a PBE-GGA calculation of a geometry-optimized Al3SiRh structure, from Alexandria via LeMat-Bulk.

abc: 4.621 4.621 4.621
angles: 90.00 90.00 90.00
Space group Pm-3m (No. 221)
One atom of each set of equivalent atoms:
Al 0.000 0.000 0.500 [3 per cell]
Si 0.000 0.000 0.000 [1 per cell]
Rh 0.500 0.500 0.500 [1 per cell]

***

## x
The following is a PBE-GGA calculation of a geometry-optimized Al3SiRh structure, from Alexandria via LeMat-Bulk.

abc: 4.661 4.661 4.661
angles: 90.00 90.00 90.00
Space group Pm-3m (No. 221)
One atom of each set of equivalent atoms:
Al 0.000 0.000 0.500 [3 per cell]
Si 0.500 0.500 0.500 [1 per cell]
Rh 0.000 0.000 0.000 [1 per cell]

***

x takes first place; second place is 60.8 kJ/mol of atoms up.

***

## w
The following is a PBE-GGA calculation of a geometry-optimized Sm4AlRh structure, from Alexandria via LeMat-Bulk.

abc: 13.754 13.754 13.754
angles: 90.00 90.00 90.00
Space group F-43m (No. 216)
One atom of each set of equivalent atoms:
Sm 0.000 0.000 0.186 [24 per cell]
Sm 0.055 0.250 0.250 [24 per cell]
Sm 0.101 0.101 0.601 [16 per cell]
Al 0.175 0.175 0.825 [16 per cell]
Rh 0.108 0.108 0.392 [16 per cell]

***

## x
The following is a PBE-GGA calculation of a geometry-optimized Sm4AlRh structure, from Alexandria via LeMat-Bulk.

abc: 8.945 13.790 6.099
angles: 90.00 116.72 90.00
Space group C2/c (No. 15)
One atom of each set of equivalent atoms:
Sm 0.120 0.182 0.083 [8 per cell]
Sm 0.214 0.432 0.323 [8 per cell]
Al 0.000 0.374 0.750 [4 per cell]
Rh 0.000 0.001 0.250 [4 per cell]

***

w takes first place; second place is 8.4 kJ/mol of atoms up.

***

## w
The following is a PBE-GGA calculation of a geometry-optimized AlSnRh3 structure, from Alexandria via LeMat-Bulk.

abc: 4.463 4.463 4.463
angles: 90.00 90.00 90.00
Space group Pm-3m (No. 221)
One atom of each set of equivalent atoms:
Al 0.000 0.000 0.000 [1 per cell]
Sn 0.500 0.500 0.500 [1 per cell]
Rh 0.000 0.000 0.500 [3 per cell]

***

## x
The following is a PBE-GGA calculation of a geometry-optimized AlSnRh3 structure, from Alexandria via LeMat-Bulk.

abc: 4.790 4.790 4.790
angles: 90.00 90.00 90.00
Space group Pm-3m (No. 221)
One atom of each set of equivalent atoms:
Al 0.000 0.000 0.000 [1 per cell]
Sn 0.500 0.500 0.500 [1 per cell]
Rh 0.000 0.500 0.500 [3 per cell]

***

w takes first place; second place is 73.2 kJ/mol of atoms up.

***

## w
The following is a PBE-GGA calculation of a geometry-optimized Ta3AlRh structure, from Alexandria via LeMat-Bulk.

abc: 4.627 4.627 4.627
angles: 90.00 90.00 90.00
Space group Pm-3m (No. 221)
One atom of each set of equivalent atoms:
Ta 0.000 0.000 0.500 [3 per cell]
Al 0.000 0.000 0.000 [1 per cell]
Rh 0.500 0.500 0.500 [1 per cell]

***

## x
The following is a PBE-GGA calculation of a geometry-optimized Ta3AlRh structure, from Alexandria via LeMat-Bulk.

abc: 4.791 4.791 4.791
angles: 90.00 90.00 90.00
Space group Pm-3m (No. 221)
One atom of each set of equivalent atoms:
Ta 0.000 0.000 0.500 [3 per cell]
Al 0.500 0.500 0.500 [1 per cell]
Rh 0.000 0.000 0.000 [1 per cell]

***

x takes first place; second place is 29.8 kJ/mol of atoms up.

***

## w
The following is a PBE-GGA calculation of a geometry-optimized Ta2AlRh2 structure, from Alexandria via LeMat-Bulk.

abc: 7.454 7.454 3.015
angles: 90.00 90.00 90.00
Space group P4/mbm (No. 127)
One atom of each set of equivalent atoms:
Ta 0.168 0.332 0.000 [4 per cell]
Al 0.000 0.000 0.500 [2 per cell]
Rh 0.130 0.630 0.500 [4 per cell]

***

## x
The following is a PBE-GGA calculation of a geometry-optimized Ta2AlRh2 structure, from Alexandria via LeMat-Bulk.

abc: 7.683 7.683 2.918
angles: 90.00 90.00 90.00
Space group P4/mbm (No. 127)
One atom of each set of equivalent atoms:
Ta 0.160 0.340 0.000 [4 per cell]
Al 0.000 0.000 0.000 [2 per cell]
Rh 0.134 0.634 0.500 [4 per cell]

***

w takes first place; second place is 19.6 kJ/mol of atoms up.

***

## w
The following is a PBE-GGA calculation of a geometry-optimized TbAl3Rh structure, from Alexandria via LeMat-Bulk.

abc: 8.217 5.457 8.324
angles: 90.00 99.82 90.00
Space group P2_1/c (No. 14)
One atom of each set of equivalent atoms:
Tb 0.130 0.117 0.213 [4 per cell]
Al 0.137 0.625 0.053 [4 per cell]
Al 0.289 0.604 0.358 [4 per cell]
Al 0.401 0.161 0.558 [4 per cell]
Rh 0.453 0.650 0.652 [4 per cell]

***

## x
The following is a PBE-GGA calculation of a geometry-optimized TbAl3Rh structure, from Alexandria via LeMat-Bulk.

abc: 6.3740 6.3740 11.1374
angles: 90.00 90.00 120.00
Space group P6_3/mmc (No. 194)
One atom of each set of equivalent atoms:
Tb 0.0000 0.0000 0.0000 [2 per cell]
Tb 0.3333 0.6667 0.2500 [2 per cell]
Al 0.0000 0.5000 0.0000 [6 per cell]
Al 0.1400 0.2801 0.7500 [6 per cell]
Rh 0.3333 0.6667 0.6261 [4 per cell]

***

w takes first place; second place is 5.4 kJ/mol of atoms up.

***

## w
The following is a PBE-GGA calculation of a geometry-optimized AlTc3Rh structure, from Alexandria via LeMat-Bulk.

abc: 4.376 4.376 4.376
angles: 90.00 90.00 90.00
Space group Pm-3m (No. 221)
One atom of each set of equivalent atoms:
Al 0.000 0.000 0.000 [1 per cell]
Tc 0.000 0.000 0.500 [3 per cell]
Rh 0.500 0.500 0.500 [1 per cell]

***

## x
The following is a PBE-GGA calculation of a geometry-optimized AlTc3Rh structure, from Alexandria via LeMat-Bulk.

abc: 4.642 4.642 4.642
angles: 90.00 90.00 90.00
Space group Pm-3m (No. 221)
One atom of each set of equivalent atoms:
Al 0.000 0.000 0.000 [1 per cell]
Tc 0.000 0.500 0.500 [3 per cell]
Rh 0.500 0.500 0.500 [1 per cell]

***

w takes first place; second place is 30.4 kJ/mol of atoms up.